Entry 1:
A relaxed structure of Ce6ThAl. Source: the Alexandria database, functional PBE.

## Properties
Its energy relative to the elements is -0.0530 eV per atom. The calculation puts the total energy at -47.2 eV per cell.

Lattice parameters (Å, degrees): 4.7288 4.7288 9.5612 90.00 90.00 90.00
Closest atoms and distances in Å follow each position.
Atoms (fractional coordinates):
Ce1 0.5000 0.5000 0.0000  4 Th 3.34, 8 Ce 3.43
Ce2 0.5000 0.5000 0.5000  8 Ce 3.30, 4 Al 3.34
Ce3 0.5000 0.0000 0.2596  8 Ce 3.30-3.43, 2 Al 3.30, 2 Th 3.43
Ce4 0.5000 0.0000 0.7404  8 Ce 3.30-3.43, 2 Al 3.30, 2 Th 3.43
Ce5 0.0000 0.5000 0.2596  8 Ce 3.30-3.43, 2 Al 3.30, 2 Th 3.43
Ce6 0.0000 0.5000 0.7404  8 Ce 3.30-3.43, 2 Al 3.30, 2 Th 3.43
Th1 0.0000 0.0000 0.0000  12 Ce 3.34-3.43
Al1 0.0000 0.0000 0.5000  12 Ce 3.30-3.34

***

Entry 2:
A relaxed structure of K2RbSn. Source: the Alexandria database, functional PBE.

## Properties
Its energy relative to the elements is 0.1096 eV per atom. The calculation puts the total energy at -13.5 eV per cell.

Lattice parameters (Å, degrees): 5.6395 5.6395 13.5461 77.99 77.99 90.00
Closest atoms and distances in Å follow each position.
Atoms (fractional coordinates):
K1 0.6625 0.1250 0.2500  2 K 3.70, 2 Sn 3.73, 2 Rb 3.88
K2 0.0875 0.6250 0.2500  2 K 3.70, 2 Sn 3.73, 2 Rb 3.88
K3 0.3750 0.3375 0.7500  2 K 3.70, 2 Sn 3.73, 2 Rb 3.88
K4 0.8750 0.9125 0.7500  2 K 3.70, 2 Sn 3.73, 2 Rb 3.88
Sn1 0.0000 0.0000 0.0000  4 K 3.73, 4 Rb 3.99
Sn2 0.7500 0.2500 0.5000  4 K 3.73, 4 Rb 3.99
Rb1 0.5000 0.5000 0.0000  4 K 3.88, 4 Sn 3.99
Rb2 0.2500 0.7500 0.5000  4 K 3.88, 4 Sn 3.99

***

Entry 3:
A relaxed structure of Li2TbZn2. Source: the Alexandria database, functional PBE.

## Properties
Its energy relative to the elements is -0.1888 eV per atom. The calculation puts the total energy at -23.9 eV per cell.

Lattice parameters (Å, degrees): 4.4616 3.5357 12.9914 97.82 99.89 90.00
Closest atoms and distances in Å follow each position.
Atoms (fractional coordinates):
Li1 0.5450 0.2950 0.0899  2 Zn 2.64, 6 Li 2.86-2.89
Li2 0.9457 0.1957 0.8913  2 Zn 2.82, 4 Li 2.86
Li3 0.4550 0.7050 0.9101  2 Zn 2.64, 6 Li 2.86-2.89
Li4 0.0543 0.8043 0.1087  2 Zn 2.82, 4 Li 2.86
Tb1 0.8264 0.5764 0.6529  10 Zn 3.12-3.13
Tb2 0.1736 0.4236 0.3471  10 Zn 3.12-3.13
Zn1 0.7252 0.9752 0.4505  3 Zn 2.56-2.60
Zn2 0.2748 0.0248 0.5495  3 Zn 2.56-2.60
Zn3 0.3774 0.1274 0.7549  1 Zn 2.60, 4 Li 2.64-2.82
Zn4 0.6226 0.8726 0.2451  1 Zn 2.60, 4 Li 2.64-2.82

***

Entry 4:
A relaxed structure of ZrBe2Pd2. Source: the Alexandria database, functional PBE.

## Properties
Its energy relative to the elements is -0.3845 eV per atom. The calculation puts the total energy at -28.3 eV per cell.

Lattice parameters (Å, degrees): 3.9532 3.9532 5.4170 68.60 68.60 90.00
Closest atoms and distances in Å follow each position.
Atoms (fractional coordinates):
Be1 0.7500 0.2500 0.5000  4 Pd 2.23
Be2 0.2500 0.7500 0.5000  4 Pd 2.23
Zr1 0.0000 0.0000 0.0000  8 Be 3.05, 10 Pd 3.08-3.36
Pd1 0.3616 0.3616 0.2769  4 Be 2.23
Pd2 0.6384 0.6384 0.7231  4 Be 2.23

***

Entry 5:
A relaxed structure of HfPaTaN3. Source: the Alexandria database, functional PBE.

## Properties
The calculation puts the total energy at -128.0 eV per cell. As for the energy relative to the elements, uncorrected: -124 kJ/mol of atoms.

Lattice parameters (Å, degrees): 3.1379 6.9209 8.0747 92.35 90.00 90.00
Closest atoms and distances in Å follow each position.
Atoms (fractional coordinates):
Hf1 0.2500 0.6238 0.1414  5 N 2.16-2.24
Hf2 0.7500 0.3762 0.8586  5 N 2.16-2.24
Pa1 0.7500 0.8616 0.8304  7 N 2.40-2.52
Pa2 0.2500 0.1384 0.1696  7 N 2.40-2.52
Ta1 0.2500 0.1583 0.5819  4 N 2.13-2.26
Ta2 0.7500 0.8417 0.4181  4 N 2.13-2.26
N1 0.2500 0.8515 0.6000  3 Ta 2.13-2.15
N2 0.7500 0.8538 0.1384  2 Hf 2.24, 1 Ta 2.26, 1 Pa 2.49
N3 0.7500 0.3943 0.1268  3 Hf 2.16-2.23, 2 Pa 2.40
N4 0.7500 0.1485 0.4000  3 Ta 2.13-2.15
N5 0.2500 0.6057 0.8732  3 Hf 2.16-2.23, 2 Pa 2.40
N6 0.2500 0.1462 0.8616  2 Hf 2.24, 1 Ta 2.26, 1 Pa 2.49

***

Entry 6:
A relaxed structure of Tl2GaAg. Source: the Alexandria database, functional PBE.

## Properties
Its energy relative to the elements is 0.1428 eV per atom. The calculation puts the total energy at -10.0 eV per cell.

Lattice parameters (Å, degrees): 4.3741 4.7229 4.7229 90.00 90.00 90.00
Closest atoms and distances in Å follow each position.
Atoms (fractional coordinates):
Tl1 0.0000 0.0000 0.5000  4 Ag 3.22, 4 Ga 3.22, 4 Tl 3.34
Tl2 0.0000 0.5000 0.0000  4 Ag 3.22, 4 Ga 3.22, 4 Tl 3.34
Ga1 0.5000 0.5000 0.5000  8 Tl 3.22, 4 Ag 3.34
Ag1 0.5000 0.0000 0.0000  8 Tl 3.22, 4 Ga 3.34

***

Entry 7:
A relaxed structure of MoIrRh2. Source: the Alexandria database, functional PBE.

## Properties
Its energy relative to the elements is -0.0640 eV per atom. The calculation puts the total energy at -34.7 eV per cell.

Lattice parameters (Å, degrees): 2.7235 2.7235 7.8849 90.00 90.00 89.99
Closest atoms and distances in Å follow each position.
Atoms (fractional coordinates):
Ir1 0.5000 0.5000 0.2500  4 Ir 2.72, 8 Rh 2.75
Mo1 0.5000 0.5000 0.7500  4 Mo 2.72, 8 Rh 2.76
Rh1 0.0000 0.0000 0.0016  4 Rh 2.72, 4 Ir 2.75, 4 Mo 2.76
Rh2 0.0000 0.0000 0.4984  4 Rh 2.72, 4 Ir 2.75, 4 Mo 2.76

***

Entry 8:
A relaxed structure of La2PdPt2. Source: the Alexandria database, functional PBE.

## Properties
Its energy relative to the elements is -1.0255 eV per atom. The calculation puts the total energy at -64.5 eV per cell.

Lattice parameters (Å, degrees): 5.6593 5.6983 8.3978 103.55 90.00 119.77
Closest atoms and distances in Å follow each position.
Atoms (fractional coordinates):
La1 0.5132 0.3022 0.1539  6 Pt 3.03-3.24, 2 Pd 3.06-3.35
La2 0.2110 0.6978 0.3461  6 Pt 3.03-3.24, 2 Pd 3.06-3.35
La3 0.4868 0.6978 0.8461  6 Pt 3.03-3.24, 2 Pd 3.06-3.35
La4 0.7890 0.3022 0.6539  6 Pt 3.03-3.24, 2 Pd 3.06-3.35
Pd1 0.7889 0.0000 0.2500  4 Pt 2.79-2.85, 2 La 3.06
Pd2 0.2111 0.0000 0.7500  4 Pt 2.79-2.85, 2 La 3.06
Pt1 0.7464 0.7424 0.5024  2 Pt 2.78-2.92, 2 Pd 2.79-2.85, 2 La 3.03
Pt2 0.0040 0.2576 0.9976  2 Pt 2.78-2.92, 2 Pd 2.79-2.85, 2 La 3.03
Pt3 0.2536 0.2576 0.4976  2 Pt 2.78-2.92, 2 Pd 2.79-2.85, 2 La 3.03
Pt4 0.9960 0.7424 0.0024  2 Pt 2.78-2.92, 2 Pd 2.79-2.85, 2 La 3.03